# 1
## TmThNp (PBE-GGA)

Data for a geometry-optimized TmThNp structure.

a b c (Å): 5.2238 5.2238 5.2238
angles (deg): 60.00 60.00 60.00
Element x y z (fractional)
Np 0.2500 0.2500 0.2500
Th 0.7500 0.7500 0.7500
Tm 0.0000 0.0000 0.0000

Calculated values
* ΔE_f: 3.50 eV/f.u.
* space-group type: F-43m (216)
* total energy: -21.15 eV per formula unit


# 2
## NdBNO (PBE-GGA)

Data for a geometry-optimized NdBNO structure.

a b c (Å): 5.2888 5.3368 7.4603
angles (deg): 90.00 90.00 90.00
Element x y z (fractional)
B 0.5502 0.0245 0.3690
B 0.0502 0.4755 0.3690
B 0.5502 0.5245 0.6310
B 0.0502 0.9755 0.6310
N 0.5519 0.0073 0.1874
N 0.0519 0.4927 0.1874
N 0.5519 0.5073 0.8126
N 0.0519 0.9927 0.8126
Nd 0.5517 0.5065 0.1556
Nd 0.0517 0.9935 0.1556
Nd 0.5517 0.0065 0.8444
Nd 0.0517 0.4935 0.8444
O 0.5485 0.5611 0.4632
O 0.0485 0.9389 0.4632
O 0.5485 0.0611 0.5368
O 0.0485 0.4389 0.5368

Calculated values
* excess energy over the best structure of this formula in the dataset: 0 meV/atom
* space-group type: Pca2_1 (29)
* total energy: -30.99 eV per formula unit


# 3
## SmZnNO (PBE-GGA)

Data for a geometry-optimized SmZnNO structure.

a b c (Å): 3.7260 3.7260 7.8990
angles (deg): 90.00 90.00 90.00
Element x y z (fractional)
N 0.7500 0.7500 0.3617
N 0.2500 0.2500 0.6383
O 0.7500 0.2500 0.0000
O 0.2500 0.7500 0.0000
Sm 0.2500 0.2500 0.1589
Sm 0.7500 0.7500 0.8411
Zn 0.7500 0.2500 0.5000
Zn 0.2500 0.7500 0.5000

Calculated values
* excess energy over the best structure of this formula in the dataset: 127 meV/atom
* space-group type: P4/nmm (129)
* total energy: -25.04 eV per formula unit


# 4
## BeNbAg2 (PBE-GGA)

Data for a geometry-optimized BeNbAg2 structure.

a b c (Å): 4.4447 4.4447 4.4447
angles (deg): 60.00 60.00 60.00
Site moments in Bohr magnetons follow the coordinates.
Element x y z (fractional)
Ag 0.0000 0.0000 0.0000  0.01
Ag 0.7500 0.7500 0.7500  0.00
Be 0.5000 0.5000 0.5000  0.01
Nb 0.2500 0.2500 0.2500  0.09

Calculated values
* space-group type: F-43m (216)
* total energy: -17.85 eV per formula unit


# 5
## BaPuU (PBE-GGA)

Data for a geometry-optimized BaPuU structure.

a b c (Å): 5.3190 5.3190 5.3190
angles (deg): 60.00 60.00 60.00
Site moments in Bohr magnetons follow the coordinates.
Element x y z (fractional)
Ba 0.2500 0.2500 0.2500  0.28
Pu 0.7500 0.7500 0.7500  5.89
U 0.0000 0.0000 0.0000  3.48

Calculated values
* excess energy over the best structure of this formula in the dataset: 0 meV/atom
* space-group type: F-43m (216)
* total energy: -23.19 eV per formula unit


# 6
## TbNdSe2 (PBE-GGA)

Data for a geometry-optimized TbNdSe2 structure.

a b c (Å): 4.1345 4.1345 7.2509
angles (deg): 106.66 106.66 60.20
Element x y z (fractional)
Nd 0.5000 0.5000 0.0000
Se 0.2541 0.2541 0.2627
Se 0.7459 0.7459 0.7373
Tb 0.0000 0.0000 0.5000

Calculated values
* space-group type: C2/m (12)
* total energy: -23.60 eV per formula unit


# 7
## Gd2Hf14O31 (PBE-GGA)

Data for a geometry-optimized Gd2Hf14O31 structure.

a b c (Å): 10.3661 10.3734 10.6612
angles (deg): 80.44 89.66 89.10
Element x y z (fractional)
Gd 0.3907 0.7354 0.1069
Gd 0.8633 0.0137 0.3987
Gd 0.3990 0.2358 0.6005
Gd 0.8621 0.5223 0.8980
Hf 0.3956 0.2362 0.1022
Hf 0.8951 0.2382 0.1039
Hf 0.8932 0.7401 0.1077
Hf 0.6488 0.0183 0.1444
Hf 0.1438 0.0136 0.1444
Hf 0.1432 0.5086 0.1455
Hf 0.6447 0.5103 0.1461
Hf 0.6107 0.7489 0.3371
Hf 0.1026 0.2362 0.3504
Hf 0.6064 0.2350 0.3521
Hf 0.1055 0.7362 0.3567
Hf 0.3427 0.5043 0.3880
Hf 0.3575 0.0097 0.3892
Hf 0.8525 0.5072 0.3933
Hf 0.8749 0.7250 0.5944
Hf 0.8940 0.2387 0.6069
Hf 0.3856 0.7514 0.6123
Hf 0.1519 0.0344 0.6411
Hf 0.1450 0.5168 0.6447
Hf 0.6465 0.0125 0.6481
Hf 0.6530 0.4980 0.6663
Hf 0.6044 0.7411 0.8543
Hf 0.6038 0.2305 0.8547
Hf 0.1036 0.2381 0.8560
Hf 0.1147 0.7365 0.8674
Hf 0.3573 0.5090 0.8929
Hf 0.3522 0.0118 0.8940
Hf 0.8547 0.0123 0.8970
O 0.4999 0.0960 0.0091
O 0.0023 0.0950 0.0096
O 0.0093 0.6105 0.0182
O 0.2624 0.9083 0.0513
O 0.2859 0.4047 0.0710
O 0.7913 0.9124 0.0745
O 0.7840 0.4060 0.0812
O 0.5354 0.3419 0.1726
O 0.5413 0.8527 0.1735
O 0.0314 0.3476 0.1779
O 0.0258 0.8480 0.1923
O 0.7497 0.1561 0.2347
O 0.2564 0.1439 0.2367
O 0.7538 0.6478 0.2410
O 0.2404 0.6362 0.2458
O 0.0054 0.1096 0.2534
O 0.4971 0.0991 0.2577
O 0.9932 0.6021 0.2638
O 0.4993 0.5974 0.2804
O 0.2263 0.8987 0.3138
O 0.2162 0.3960 0.3178
O 0.7155 0.9064 0.3191
O 0.7125 0.4052 0.3247
O 0.4694 0.3508 0.4169
O 0.9612 0.3402 0.4242
O 0.4628 0.8149 0.4359
O 0.9960 0.8384 0.4676
O 0.2469 0.1437 0.4791
O 0.2550 0.6535 0.4914
O 0.7278 0.6449 0.4923
O 0.7433 0.1578 0.4985
O 0.5096 0.0846 0.5002
O 0.9980 0.5906 0.5087
O 0.0103 0.1103 0.5164
O 0.2788 0.4177 0.5644
O 0.2779 0.9114 0.5698
O 0.7938 0.4116 0.5759
O 0.7929 0.9005 0.5911
O 0.5354 0.8453 0.6755
O 0.5445 0.3442 0.6797
O 0.0338 0.3480 0.6798
O 0.4913 0.5976 0.7396
O 0.7448 0.6508 0.7400
O 0.0031 0.6540 0.7416
O 0.2507 0.6522 0.7419
O 0.7559 0.1475 0.7424
O 0.2490 0.1462 0.7428
O 0.9983 0.0999 0.7596
O 0.5023 0.0938 0.7644
O 0.2032 0.9047 0.8041
O 0.2105 0.4110 0.8204
O 0.7148 0.3974 0.8280
O 0.7103 0.9079 0.8302
O 0.4568 0.8443 0.9140
O 0.4603 0.3375 0.9224
O 0.9656 0.8443 0.9231
O 0.9712 0.3366 0.9352
O 0.2452 0.6376 0.9876
O 0.2466 0.1552 0.9877
O 0.7460 0.1511 0.9893
O 0.7412 0.6630 0.9990
O 0.5078 0.5896 0.9993

Calculated values
* space-group type: P1 (1)
* total energy: -466.78 eV per formula unit


# 8
## BeSiOs2 (PBE-GGA)

Data for a geometry-optimized BeSiOs2 structure.

a b c (Å): 5.6609 7.2913 4.8990
angles (deg): 90.00 90.00 90.00
Element x y z (fractional)
Be 0.8591 0.2500 0.0864
Be 0.3591 0.7500 0.4136
Be 0.6409 0.2500 0.5864
Be 0.1409 0.7500 0.9136
Os 0.1250 0.0091 0.2461
Os 0.1250 0.4909 0.2461
Os 0.6250 0.5091 0.2538
Os 0.6250 0.9909 0.2538
Os 0.3750 0.0091 0.7461
Os 0.3750 0.4909 0.7461
Os 0.8750 0.5091 0.7539
Os 0.8750 0.9909 0.7539
Si 0.4008 0.2500 0.0863
Si 0.9008 0.7500 0.4137
Si 0.0992 0.2500 0.5863
Si 0.5992 0.7500 0.9137

Calculated values
* space-group type: Pnma (62)
* total energy: -32.40 eV per formula unit


# 9
## TmAlZnNi (PBE-GGA)

Data for a geometry-optimized TmAlZnNi structure.

a b c (Å): 5.1614 5.1614 7.0327
angles (deg): 90.21 90.21 46.28
Element x y z (fractional)
Al 0.1489 0.1489 0.0571
Al 0.8511 0.8511 0.9429
Ni 0.7193 0.7193 0.2410
Ni 0.2807 0.2807 0.7590
Tm 0.4348 0.4348 0.2585
Tm 0.5652 0.5652 0.7415
Zn 0.1482 0.1482 0.4458
Zn 0.8518 0.8518 0.5542

Calculated values
* excess energy over the best structure of this formula in the dataset: 0 meV/atom
* space-group type: C2/m (12)
* total energy: -17.21 eV per formula unit


# 10
## LiHgPO (PBE-GGA)

Data for a geometry-optimized LiHgPO structure.

a b c (Å): 4.8871 4.8871 5.0171
angles (deg): 90.00 90.00 90.00
Element x y z (fractional)
Hg 0.0000 0.5000 0.0002
Hg 0.5000 0.0000 0.9998
Li 0.0000 0.0000 0.5000
Li 0.5000 0.5000 0.5000
O 0.0000 0.0000 0.0000
O 0.5000 0.5000 0.0000
P 0.5000 0.0000 0.4998
P 0.0000 0.5000 0.5002

Calculated values
* excess energy over the best structure of this formula in the dataset: 443 meV/atom
* space-group type: P4/mmm (123)
* total energy: -12.61 eV per formula unit


# 11
## BeCuIr (PBE-GGA)

Data for a geometry-optimized BeCuIr structure.

a b c (Å): 3.7296 3.7296 3.7296
angles (deg): 60.00 60.00 60.00
Element x y z (fractional)
Be 0.0000 0.0000 0.0000
Cu 0.2500 0.2500 0.2500
Ir 0.7500 0.7500 0.7500

Calculated values
* excess energy over the best structure of this formula in the dataset: 0 meV/atom
* space-group type: F-43m (216)
* total energy: -16.41 eV per formula unit